Here is Nb5ReW2 after structural relaxation from Alexandria via LeMat-Bulk. Energies are from GGA-PBE.

Lattice parameters (Å, degrees): 4.5897 4.5897 7.2665 108.41 108.41 90.00
Positions (direct):
Nb (0.1255, 0.6255, 0.2509)
Nb (0.6255, 0.1255, 0.2509)
Nb (0.8745, 0.3745, 0.7491)
Nb (0.3745, 0.8745, 0.7491)
Nb (0.5000, 0.5000, 0.0000)
W (0.2515, 0.2515, 0.5030)
W (0.7485, 0.7485, 0.4970)
Re (0.0000, 0.0000, 0.0000)

Results
The uncorrected energy comes out at -11.2153 eV/atom. The density of states at the Fermi level is 5.7 states/eV per cell. Its energy of formation from the pure elements is -0.13 eV per atom.

***

Here is Nb2ReW4 after structural relaxation from Alexandria via LeMat-Bulk. Energies are from GGA-PBE.

Lattice parameters (Å, degrees): 5.4714 5.4714 8.8457 90.00 90.00 108.84
Positions (direct):
W (0.2440, 0.2439, 0.0000)
W (0.5000, 0.0000, 0.7500)
W (0.2439, 0.2440, 0.5000)
W (0.7561, 0.7560, 0.5000)
W (0.0000, 0.5000, 0.7500)
W (0.0000, 0.5000, 0.2500)
W (0.5000, 0.0000, 0.2500)
W (0.7560, 0.7561, 0.0000)
Nb (0.7512, 0.2488, 0.0000)
Nb (0.2488, 0.7512, 0.5000)
Nb (0.2488, 0.7512, 0.0000)
Nb (0.7512, 0.2488, 0.5000)
Re (0.5000, 0.5000, 0.7500)
Re (0.5000, 0.5000, 0.2500)

Results
The uncorrected energy comes out at -11.5945 eV/atom. The density of states at the Fermi level is 9.6 states/eV per cell. Its energy of formation from the pure elements is 0.46 eV per atom.

***

Here is Nb4ReW3 after structural relaxation from Alexandria via LeMat-Bulk. Energies are from GGA-PBE.

Lattice parameters (Å, degrees): 3.2308 4.5721 9.1497 90.00 90.00 90.00
Positions (direct):
Nb (0.0000, 0.5000, 0.7528)
Nb (0.0000, 0.0000, 0.0000)
Nb (0.0000, 0.0000, 0.5000)
Nb (0.0000, 0.5000, 0.2472)
W (0.5000, 0.5000, 0.5000)
W (0.5000, 0.0000, 0.2492)
W (0.5000, 0.0000, 0.7508)
Re (0.5000, 0.5000, 0.0000)

Results
The uncorrected energy comes out at -11.5728 eV/atom. The density of states at the Fermi level is 3.4 states/eV per cell. Its energy of formation from the pure elements is -0.12 eV per atom.

***

Here is NbRe2W2 after structural relaxation from Alexandria via LeMat-Bulk. Energies are from GGA-PBE.

Lattice parameters (Å, degrees): 7.5971 7.5971 2.9212 90.00 90.00 90.00
Positions (direct):
W (0.1478, 0.3522, 0.0000)
W (0.3522, 0.8522, 0.0000)
W (0.8522, 0.6478, 0.0000)
W (0.6478, 0.1478, 0.0000)
Nb (0.5000, 0.5000, 0.0000)
Nb (0.0000, 0.0000, 0.0000)
Re (0.8486, 0.3486, 0.5000)
Re (0.1514, 0.6514, 0.5000)
Re (0.3486, 0.1514, 0.5000)
Re (0.6514, 0.8486, 0.5000)

Results
The uncorrected energy comes out at -11.8805 eV/atom. The density of states at the Fermi level is 3.8 states/eV per cell. Its energy of formation from the pure elements is 0.29 eV per atom.

***

Here is Nb4ReW after structural relaxation from Alexandria via LeMat-Bulk. Energies are from GGA-PBE.

Lattice parameters (Å, degrees): 3.2397 3.2397 9.8196 90.00 90.00 90.00
Positions (direct):
Re (0.0000, 0.0000, 0.0000)
Nb (0.0000, 0.0000, 0.3367)
Nb (0.0000, 0.0000, 0.6633)
Nb (0.5000, 0.5000, 0.8391)
Nb (0.5000, 0.5000, 0.1609)
W (0.5000, 0.5000, 0.5000)

Results
The uncorrected energy comes out at -11.0996 eV/atom. The density of states at the Fermi level is 4.4 states/eV per cell. Its energy of formation from the pure elements is -0.15 eV per atom.

***

Here is Nb2Re3W after structural relaxation from Alexandria via LeMat-Bulk. Energies are from GGA-PBE.

Lattice parameters (Å, degrees): 3.1839 3.1839 9.5722 90.00 90.00 90.00
Positions (direct):
Nb (0.5000, 0.5000, 0.1666)
Nb (0.5000, 0.5000, 0.8334)
Re (0.0000, 0.0000, 0.3380)
Re (0.0000, 0.0000, 0.0000)
Re (0.0000, 0.0000, 0.6620)
W (0.5000, 0.5000, 0.5000)

Results
The uncorrected energy comes out at -11.8962 eV/atom. The density of states at the Fermi level is 3.3 states/eV per cell. Its energy of formation from the pure elements is -0.16 eV per atom.

***

Here is NbReW2 after structural relaxation from Alexandria via LeMat-Bulk. Energies are from GGA-PBE.

Lattice parameters (Å, degrees): 3.1946 4.5037 5.3113 115.15 107.50 90.00
Positions (direct):
W (0.2519, 0.2520, 0.5038)
W (0.7481, 0.7480, 0.4962)
Re (0.0000, 0.5000, 0.0000)
Nb (0.5000, 0.0000, 0.0000)

Results
The uncorrected energy comes out at -12.1912 eV/atom. The density of states at the Fermi level is 2.0 states/eV per cell. Its energy of formation from the pure elements is -0.09 eV per atom.

***

Here is NbReW after structural relaxation from Alexandria via LeMat-Bulk. Energies are from GGA-PBE.

Lattice parameters (Å, degrees): 2.7731 4.5145 4.5145 120.00 90.00 90.00
Positions (direct):
W (0.9918, 0.0000, 0.0000)
Re (0.6721, 0.3333, 0.6667)
Nb (0.3361, 0.6667, 0.3333)

Results
The uncorrected energy comes out at -11.9224 eV/atom. The density of states at the Fermi level is 1.7 states/eV per cell. Its energy of formation from the pure elements is -0.10 eV per atom.

***

Here is NbReW after structural relaxation from Alexandria via LeMat-Bulk. Energies are from GGA-PBE.

Lattice parameters (Å, degrees): 3.1873 3.1873 5.3444 107.35 107.35 90.00
Positions (direct):
Re (0.9532, 0.9532, 0.9063)
Nb (0.2839, 0.2839, 0.5678)
W (0.6129, 0.6129, 0.2258)

Results
The uncorrected energy comes out at -11.9290 eV/atom. The density of states at the Fermi level is 1.7 states/eV per cell. Its energy of formation from the pure elements is -0.11 eV per atom.

***

Here is NbReW2 after structural relaxation from Alexandria via LeMat-Bulk. Energies are from GGA-PBE.

Lattice parameters (Å, degrees): 4.5131 4.5131 4.5131 60.00 60.00 60.00
Positions (direct):
Re (0.0000, 0.0000, 0.0000)
W (0.7500, 0.7500, 0.7500)
W (0.2500, 0.2500, 0.2500)
Nb (0.5000, 0.5000, 0.5000)

Results
The uncorrected energy comes out at -12.1788 eV/atom. The density of states at the Fermi level is 1.8 states/eV per cell. Its energy of formation from the pure elements is -0.07 eV per atom.

***

Here is Nb6ReW after structural relaxation from Alexandria via LeMat-Bulk. Energies are from GGA-PBE.

Lattice parameters (Å, degrees): 5.8006 5.8006 5.8006 110.60 110.60 110.60
Positions (direct):
Nb (0.7524, 0.2497, 0.2497)
Nb (0.2476, 0.7503, 0.7503)
Nb (0.2497, 0.7524, 0.2497)
Nb (0.2497, 0.2497, 0.7524)
Nb (0.7503, 0.2476, 0.7503)
Nb (0.7503, 0.7503, 0.2476)
W (0.5000, 0.5000, 0.5000)
Re (0.0000, 0.0000, 0.0000)

Results
The uncorrected energy comes out at -10.5712 eV/atom. The density of states at the Fermi level is 8.1 states/eV per cell. Its energy of formation from the pure elements is 0.16 eV per atom.

***

Here is Nb3Re2W after structural relaxation from Alexandria via LeMat-Bulk. Energies are from GGA-PBE.

Lattice parameters (Å, degrees): 3.2152 3.2152 9.6835 90.00 90.00 90.00
Positions (direct):
Re (0.5000, 0.5000, 0.1652)
Re (0.5000, 0.5000, 0.8348)
Nb (0.0000, 0.0000, 0.3313)
Nb (0.0000, 0.0000, 0.6687)
Nb (0.0000, 0.0000, 0.0000)
W (0.5000, 0.5000, 0.5000)

Results
The uncorrected energy comes out at -11.5547 eV/atom. The density of states at the Fermi level is 2.8 states/eV per cell. Its energy of formation from the pure elements is -0.21 eV per atom.